Material: LiTeIr
Method: DFT, GGA-PBE
State: relaxed

Values from the calculation:
Spin magnetization: 0.00 μB per formula unit
E_tot: -4.774 eV/atom
D(E_F): 2.50 states/eV/cell
Space group: P-6m2
Uncorrected formation energy: -39.0 kJ/mol of formula units

Cell: 4.4844 4.4844 3.1435 Å, 90.00 90.00 120.00°
Sites, in units of the cell vectors:
Li (0.0000, 0.0000, 0.0000)
Te (0.6667, 0.3333, 0.5000)
Ir (0.3333, 0.6667, 0.5000)